# 1
# CoGe2PdBr | Alexandria | GGA-PBE | relaxed
data_CoGe2PdBr
_cell_length_a 5.1874
_cell_length_b 5.1874
_cell_length_c 4.2273
_cell_angle_alpha 90.00
_cell_angle_beta 90.00
_cell_angle_gamma 90.00
_space_group_name_H-M_alt 'P 4/m m m'
_space_group_IT_number 123
_space_group_name_Hall '-P 4 2'
loop_
_atom_site_label
_atom_site_fract_x
_atom_site_fract_y
_atom_site_fract_z
Co1 0.0000 0.0000 0.0000
Ge1 0.0000 0.5000 0.5000
Pd1 0.5000 0.5000 0.0000
Br1 0.0000 0.0000 0.5000
# ΔE_f (raw) = 1114 meV/atom
# ρ = 5.70 Mg/m³
# DFT total energy = -0.25927 Ry/atom

***

# 2
# Pm8CoGe3Br4 | Alexandria | GGA-PBE | relaxed
data_Pm8CoGe3Br4
_cell_length_a 8.4820
_cell_length_b 8.4820
_cell_length_c 21.8046
_cell_angle_alpha 90.00
_cell_angle_beta 90.00
_cell_angle_gamma 120.00
_space_group_name_H-M_alt 'R -3 m'
_space_group_IT_number 166
_space_group_name_Hall '-R 3 2"'
loop_
_atom_site_label
_atom_site_fract_x
_atom_site_fract_y
_atom_site_fract_z
Pm1 0.0000 0.0000 0.2390
Pm2 0.0201 0.5100 0.2349
Co1 0.0000 0.0000 0.5000
Ge1 0.0000 0.5000 0.5000
Br1 0.0000 0.0000 0.0000
Br2 0.0000 0.5000 0.0000
# ΔE_f (raw) = -1015 meV/atom
# ρ = 6.44 Mg/m³
# DFT total energy = -0.37622 Ry/atom

***

Copy entry 1 word for word.
# CoGe2PdBr | Alexandria | GGA-PBE | relaxed
data_CoGe2PdBr
_cell_length_a 5.1874
_cell_length_b 5.1874
_cell_length_c 4.2273
_cell_angle_alpha 90.00
_cell_angle_beta 90.00
_cell_angle_gamma 90.00
_space_group_name_H-M_alt 'P 4/m m m'
_space_group_IT_number 123
_space_group_name_Hall '-P 4 2'
loop_
_atom_site_label
_atom_site_fract_x
_atom_site_fract_y
_atom_site_fract_z
Co1 0.0000 0.0000 0.0000
Ge1 0.0000 0.5000 0.5000
Pd1 0.5000 0.5000 0.0000
Br1 0.0000 0.0000 0.5000
# ΔE_f (raw) = 1114 meV/atom
# ρ = 5.70 Mg/m³
# DFT total energy = -0.25927 Ry/atom